Version one
Computed, not measured: SrThBi2 after structural relaxation at the GGA-PBE level of DFT.

Output
Magnetic moment (μB/atom): 0.000

abc: 4.7082 4.7082 23.3772
angles: 90.00 90.00 120.00
Space group R-3m (No. 166, hexagonal axes)
Inequivalent atoms, fractional coordinates:
Sr  0.0000  0.0000  0.0000
Th  0.0000  0.0000  0.5000
Bi  0.0000  0.0000  0.2438

Version two
Computed, not measured: SrThBi2 after structural relaxation at the GGA-PBE level of DFT.

Output
Magnetic moment (μB/atom): 0.000

abc: 8.088 8.088 8.088
angles: 90.00 90.00 90.00
Space group Fm-3m (No. 225)
Inequivalent atoms, fractional coordinates:
Sr  0.000  0.000  0.000
Th  0.000  0.000  0.500
Bi  0.250  0.250  0.250

Version three
Computed, not measured: SrThBi2 after structural relaxation at the GGA-PBE level of DFT.

Output
Magnetic moment (μB/atom): 0.000

abc: 4.5682 4.5682 25.0758
angles: 90.00 90.00 120.00
Space group R3m (No. 160, hexagonal axes)
Inequivalent atoms, fractional coordinates:
Sr  0.0000  0.0000  0.0000
Th  0.0000  0.0000  0.8300
Bi  0.0000  0.0000  0.4184
Bi  0.0000  0.0000  0.5764

Most stable structure among those shown: version one.